No. 1
Here is a relaxed structure of Rb2ScHgI6 from the Alexandria database. Energies are from PBE.

abc: 8.208 8.500 8.571
angles: 118.67 118.17 90.21
Space group P-1 (No. 2)
Unique sites:
Rb  0.246  0.268  0.498 x2
Sc  0.000  0.500  0.000 x1
Hg  0.500  0.000  0.000 x1
I  0.152  0.184  0.971 x2
I  0.229  0.699  0.461 x2
I  0.319  0.673  0.018 x2

Summary:
Raw total energy   -2.86 eV/atom
Raw formation energy   -104 kJ/mol of atoms
Crystal system   triclinic



No. 2
Here is a relaxed structure of RbScHgI6 from the Alexandria database. Energies are from PBE.

abc: 7.501 14.428 7.997
angles: 90.00 97.23 90.00
Space group C2 (No. 5)
Unique sites:
Rb  0.000  0.000  0.000 x2
Sc  0.000  0.338  0.500 x2
Hg  0.000  0.640  0.500 x2
I  0.162  0.480  0.315 x4
I  0.187  0.195  0.300 x4
I  0.222  0.803  0.236 x4

Summary:
Raw total energy   -2.83 eV/atom
Raw formation energy   -92 kJ/mol of atoms
Crystal system   monoclinic



No. 3
Here is a relaxed structure of RbHg2SeI from the Alexandria database. Energies are from PBE.

abc: 6.770 6.770 5.608
angles: 90.00 90.00 90.00
Space group P4/mmm (No. 123)
Unique sites:
Rb  0.000  0.000  0.000 x1
Hg  0.000  0.500  0.500 x2
Se  0.500  0.500  0.000 x1
I  0.500  0.500  0.500 x1

Summary:
Raw total energy   -1.43 eV/atom
Raw formation energy   -10 kJ/mol of atoms
Crystal system   tetragonal



No. 4
Here is a relaxed structure of RbHg2SeI from the Alexandria database. Energies are from PBE.

abc: 5.455 5.455 7.029
angles: 90.00 90.00 90.00
Space group P4/mmm (No. 123)
Unique sites:
Rb  0.000  0.000  0.000 x1
Hg  0.000  0.500  0.500 x2
Se  0.000  0.000  0.500 x1
I  0.500  0.500  0.000 x1

Summary:
Raw total energy   -1.90 eV/atom
Raw formation energy   -56 kJ/mol of atoms
Crystal system   tetragonal



No. 5
Here is a relaxed structure of RbSi2HgI from the Alexandria database. Energies are from PBE.

abc: 6.605 6.605 6.549
angles: 90.00 90.00 90.00
Space group P4/mmm (No. 123)
Unique sites:
Rb  0.000  0.000  0.000 x1
Si  0.000  0.500  0.000 x2
Hg  0.000  0.000  0.500 x1
I  0.500  0.500  0.500 x1

Summary:
Raw total energy   -1.35 eV/atom
Raw formation energy   134 kJ/mol of atoms
Crystal system   tetragonal



No. 6
Here is a relaxed structure of RbSnHgI3 from the Alexandria database. Energies are from PBE.

abc: 10.739 15.679 7.580
angles: 90.00 100.10 90.00
Space group C2/c (No. 15)
Unique sites:
Rb  0.000  0.232  0.250 x4
Sn  0.000  0.435  0.750 x4
Hg  0.000  0.006  0.750 x4
I  0.000  0.236  0.750 x4
I  0.179  0.427  0.456 x8

Summary:
Raw total energy   -2.33 eV/atom
Raw formation energy   -65 kJ/mol of atoms
Crystal system   monoclinic